## Ca5Mg3 (PBE-GGA)

Data for a geometry-optimized Ca5Mg3 structure.

E above lowest polymorph   0 kJ/mol of formula units
Energy of formation from the pure elements   -62 meV per atom
M_tot   0.0000 μB per atom

Unit cell a=3.9089 b=3.9089 c=17.7702 alpha=90.00 beta=90.00 gamma=90.00
Space group P4/mmm (No. 123)
One atom of each set of equivalent atoms:
Ca 0.0000 0.0000 0.0000 [1 per cell]
Ca 0.0000 0.0000 0.2279 [2 per cell]
Ca 0.5000 0.5000 0.3856 [2 per cell]
Mg 0.0000 0.0000 0.5000 [1 per cell]
Mg 0.5000 0.5000 0.1151 [2 per cell]

## Nd6P3Cl2 (PBE-GGA)

Data for a geometry-optimized Nd6P3Cl2 structure.

Formation energy from raw total energies   -1551 kJ/mol of formula units
M_tot   0.0000 μB per atom

Unit cell a=7.1537 b=12.3509 c=7.1653 alpha=90.00 beta=109.44 gamma=90.00
Space group C2/m (No. 12)
One atom of each set of equivalent atoms:
Nd 0.2400 0.0000 0.2255 [4 per cell]
Nd 0.2455 0.3344 0.2314 [8 per cell]
P 0.0000 0.1695 0.0000 [4 per cell]
P 0.0000 0.5000 0.0000 [2 per cell]
Cl 0.0000 0.3346 0.5000 [4 per cell]

## TmGaPd (PBE-GGA)

Data for a geometry-optimized TmGaPd structure.

Energy of formation from the pure elements   -897 meV per atom
M_tot   0.0000 μB per atom

Unit cell a=6.7443 b=4.4537 c=7.6915 alpha=90.00 beta=90.00 gamma=90.00
Space group Pnma (No. 62)
One atom of each set of equivalent atoms:
Tm 0.0153 0.2500 0.2024 [4 per cell]
Ga 0.1806 0.2500 0.5755 [4 per cell]
Pd 0.2258 0.7500 0.4036 [4 per cell]